Entry from the Alexandria database: an optimized crystal structure of Nd2SbAs (PBE-GGA).

extended XYZ file:
```
4
Lattice="-1.272 0.839 -4.077 1.507 -2.418 -3.291 -5.662 -5.226 -1.633" Properties=species:S:1:pos:R:3 pbc="T T T"
Sb -2.728 -3.415 -4.498
As -5.484 -6.261 -6.548
Nd -1.238 -1.604 -2.267
Nd -4.351 -4.153 -1.821
```

Calculated values
* VASP energy: -5.806 eV per atom